Entry 1:
DFT (PBE-GGA) results for a geometry-optimized HfCuAs2Br structure.

```
HfCuAs2Br
1.0
-3.0231 2.6487 -2.3811
-3.3974 -1.2071 2.9706
1.1148 3.8105 2.8234
As Hf Cu Br
2 1 1 1
direct
0.0000 0.5000 0.0000
0.5000 0.0000 0.0000
0.5000 0.5000 0.5000
0.0000 0.0000 0.0000
0.0000 0.0000 0.5000
```

## Properties
Density of states at the Fermi level: 0.38 states/eV/atom
Total magnetization: 0.000 μB per cell

Entry 2:
DFT (PBE-GGA) results for a geometry-optimized HfCuAs2Br structure.

```
HfCuAs2Br
1.0
-4.9435 1.1697 1.0246
-0.4988 -4.4271 2.6473
1.4839 2.4449 4.3682
As Hf Cu Br
2 1 1 1
direct
0.0000 0.5000 0.0000
0.5000 0.0000 0.0000
0.0000 0.0000 0.0000
0.5000 0.5000 0.5000
0.0000 0.0000 0.5000
```

## Properties
Density of states at the Fermi level: 1.01 states/eV/atom
Total magnetization: 0.000 μB per cell

Entry 3:
DFT (PBE-GGA) results for a geometry-optimized CuHgAsBr2 structure.

```
CuHgAsBr2
1.0
5.0889 0.0000 0.0000
0.0000 5.0889 0.0000
0.0000 0.0000 4.9427
As Cu Hg Br
1 1 1 2
direct
0.0000 0.0000 0.5000
0.0000 0.0000 0.0000
0.5000 0.5000 0.5000
0.0000 0.5000 0.0000
0.5000 0.0000 0.0000
```

## Properties
Density of states at the Fermi level: 0.75 states/eV/atom
Total magnetization: 1.066 μB per cell

Entry 4:
DFT (PBE-GGA) results for a geometry-optimized CuHg2AsBr structure.

```
CuHg2AsBr
1.0
5.2847 0.0000 0.0000
0.0000 4.5388 0.0000
0.0000 0.0000 5.2847
As Cu Hg Br
1 1 2 1
direct
0.0000 0.5000 0.0000
0.0000 0.0000 0.0000
0.0000 0.0000 0.5000
0.5000 0.0000 0.0000
0.5000 0.5000 0.5000
```

## Properties
Density of states at the Fermi level: 0.68 states/eV/atom
Total magnetization: 0.000 μB per cell

Number 1: formation energy (no corrections) 0.47 eV per atom. Number 2: formation energy (no corrections) 0.32 eV per atom. Number 3: formation energy (no corrections) 0.26 eV per atom. Number 4: formation energy (no corrections) 0.18 eV per atom.